A plane-wave DFT calculation with PBE was carried out for a relaxed YTm7Cd2 crystal.

Its crystal system is orthorhombic. As for the total DFT energy (no corrections): -70.763 eV/cell.

a b c (Å): 8.868 15.590 5.174
angles (deg): 90.00 90.00 90.00
Space group Cmmm (No. 65)
Unique sites:
Y1 0.000 0.000 0.000 (multiplicity 2)
Tm1 0.000 0.224 0.000 (multiplicity 4)
Tm2 0.000 0.500 0.500 (multiplicity 2)
Tm3 0.182 0.117 0.500 (multiplicity 8)
Cd1 0.000 0.305 0.500 (multiplicity 4)

=====

A plane-wave DFT calculation with PBE was carried out for a relaxed AcCuGe2 crystal.

Its crystal system is orthorhombic. For the energy relative to the lowest polymorph listed for this composition, the calculation gives 0.0 meV/atom. As for the total DFT energy (no corrections): -78.216 eV/cell.

a b c (Å): 4.323 17.838 4.576
angles (deg): 90.00 90.00 90.00
Space group Cmmm (No. 65)
Unique sites:
Ac1 0.000 0.144 0.000 (multiplicity 4)
Cu1 0.000 0.425 0.500 (multiplicity 4)
Ge1 0.000 0.000 0.500 (multiplicity 2)
Ge2 0.000 0.289 0.500 (multiplicity 4)
Ge3 0.000 0.500 0.000 (multiplicity 2)

=====

A plane-wave DFT calculation with PBE was carried out for a relaxed Rb2Hg5H4 crystal.

Its crystal system is triclinic. As for the total DFT energy (no corrections): -16.775 eV/cell.

a b c (Å): 5.838 6.343 8.293
angles (deg): 76.41 89.69 65.49
Space group P-1 (No. 2)
Unique sites:
Rb1 0.199 0.071 0.149 (multiplicity 2)
Hg1 0.254 0.051 0.584 (multiplicity 2)
Hg2 0.265 0.530 0.611 (multiplicity 2)
Hg3 0.500 0.500 0.000 (multiplicity 1)
H1 0.220 0.541 0.075 (multiplicity 2)
H2 0.297 0.943 0.832 (multiplicity 2)

=====

A plane-wave DFT calculation with PBE was carried out for a relaxed BaTb2Ga crystal.

Its crystal system is tetragonal. For the energy relative to the lowest polymorph listed for this composition, the calculation gives 0.0 meV/atom. As for the total DFT energy (no corrections): -14.842 eV/cell.

a b c (Å): 3.673 3.673 9.829
angles (deg): 90.00 90.00 90.00
Space group P4/mmm (No. 123)
Unique sites:
Ba1 0.000 0.000 0.000 (multiplicity 1)
Tb1 0.500 0.500 0.327 (multiplicity 2)
Ga1 0.000 0.000 0.500 (multiplicity 1)

=====

A plane-wave DFT calculation with PBE was carried out for a relaxed BaZrAl2 crystal.

Its crystal system is monoclinic. For the energy relative to the lowest polymorph listed for this composition, the calculation gives 309.5 meV/atom. As for the total DFT energy (no corrections): -34.840 eV/cell.

a b c (Å): 10.939 3.193 6.191
angles (deg): 90.00 104.61 90.00
Space group Cm (No. 8)
Unique sites:
Ba1 0.000 0.000 0.000 (multiplicity 2)
Zr1 0.195 0.000 0.614 (multiplicity 2)
Al1 0.265 0.500 0.261 (multiplicity 2)
Al2 0.453 0.000 0.501 (multiplicity 2)

=====

A plane-wave DFT calculation with PBE was carried out for a relaxed LaPmInSb crystal.

Its crystal system is cubic. As for the uncorrected formation energy: -0.63 eV/atom. As for the total DFT energy (no corrections): -76.172 eV/cell.

a b c (Å): 7.817 7.817 7.817
angles (deg): 90.00 90.00 90.00
Space group F-43m (No. 216)
Unique sites:
La1 0.000 0.000 0.000 (multiplicity 4)
Pm1 0.000 0.000 0.500 (multiplicity 4)
In1 0.250 0.250 0.250 (multiplicity 4)
Sb1 0.250 0.250 0.750 (multiplicity 4)

=====

A plane-wave DFT calculation with PBE was carried out for a relaxed Tc2HgRu crystal.

Its crystal system is tetragonal. As for the total DFT energy (no corrections): -107.228 eV/cell.

a b c (Å): 7.308 7.308 5.342
angles (deg): 90.00 90.00 90.00
Space group I-42d (No. 122)
Unique sites:
Tc1 0.196 0.250 0.125 (multiplicity 8)
Hg1 0.000 0.000 0.500 (multiplicity 4)
Ru1 0.000 0.000 0.000 (multiplicity 4)

=====

A plane-wave DFT calculation with PBE was carried out for a relaxed Mn2NbSiMo crystal.

Its crystal system is tetragonal. As for the uncorrected formation energy: 1.64 eV/atom. For the energy relative to the lowest polymorph listed for this composition, the calculation gives 251.9 meV/atom. As for the total DFT energy (no corrections): -36.472 eV/cell.

a b c (Å): 4.659 4.659 4.721
angles (deg): 90.00 90.00 90.00
Space group P4/mmm (No. 123)
Unique sites:
Mn1 0.000 0.500 0.000 (multiplicity 2)
Nb1 0.000 0.000 0.000 (multiplicity 1)
Si1 0.500 0.500 0.500 (multiplicity 1)
Mo1 0.000 0.000 0.500 (multiplicity 1)

=====

A plane-wave DFT calculation with PBE was carried out for a relaxed TaWAu2 crystal.

Its crystal system is tetragonal. For the energy relative to the lowest polymorph listed for this composition, the calculation gives 14.0 meV/atom. As for the total DFT energy (no corrections): -31.018 eV/cell.

a b c (Å): 2.822 2.822 8.734
angles (deg): 90.00 90.00 90.00
Space group P4mm (No. 99)
Unique sites:
Ta1 0.000 0.000 0.000 (multiplicity 1)
W1 0.500 0.500 0.253 (multiplicity 1)
Au1 0.000 0.000 0.491 (multiplicity 1)
Au2 0.500 0.500 0.758 (multiplicity 1)

=====

A plane-wave DFT calculation with PBE was carried out for a relaxed NbPbAu crystal.

Its crystal system is orthorhombic. As for the total DFT energy (no corrections): -65.001 eV/cell.

a b c (Å): 14.849 3.189 5.530
angles (deg): 90.00 90.00 90.00
Space group Amm2 (No. 38)
Unique sites:
Nb1 0.149 0.000 0.000 (multiplicity 4)
Pb1 0.314 0.000 0.667 (multiplicity 4)
Au1 0.000 0.000 0.667 (multiplicity 2)
Au2 0.500 0.000 0.668 (multiplicity 2)

=====

A plane-wave DFT calculation with PBE was carried out for a relaxed Ba2ZrAu2O6 crystal.

Its crystal system is trigonal. As for the uncorrected formation energy: -1.69 eV/atom. As for the total DFT energy (no corrections): -201.843 eV/cell.

a b c (Å): 6.3697 6.3697 16.9693
angles (deg): 90.00 90.00 120.00
Space group R-3m (No. 166, hexagonal axes)
Unique sites:
Ba1 0.0000 0.0000 0.2149 (multiplicity 6)
Zr1 0.0000 0.0000 0.0000 (multiplicity 3)
Au1 0.0000 0.0000 0.4128 (multiplicity 6)
O1 0.0466 0.5233 0.7500 (multiplicity 18)

=====

A plane-wave DFT calculation with PBE was carried out for a relaxed LaUCu crystal.

Its crystal system is orthorhombic. As for the total DFT energy (no corrections): -156.614 eV/cell.

a b c (Å): 5.060 10.249 11.073
angles (deg): 90.00 90.00 90.00
Space group Fmmm (No. 69)
Unique sites:
La1 0.000 0.000 0.146 (multiplicity 8)
U1 0.000 0.196 0.500 (multiplicity 8)
Cu1 0.250 0.250 0.250 (multiplicity 8)

=====

Please write out number 1 again, unchanged.
A plane-wave DFT calculation with PBE was carried out for a relaxed YTm7Cd2 crystal.

Its crystal system is orthorhombic. As for the total DFT energy (no corrections): -70.763 eV/cell.

a b c (Å): 8.868 15.590 5.174
angles (deg): 90.00 90.00 90.00
Space group Cmmm (No. 65)
Unique sites:
Y1 0.000 0.000 0.000 (multiplicity 2)
Tm1 0.000 0.224 0.000 (multiplicity 4)
Tm2 0.000 0.500 0.500 (multiplicity 2)
Tm3 0.182 0.117 0.500 (multiplicity 8)
Cd1 0.000 0.305 0.500 (multiplicity 4)

=====

Number 6 is which compound?
LaPmInSb